No. 1
First-principles (GGA-PBE) data for AgOsCl after structural relaxation, as listed in Alexandria.

Output
As for the formation energy (no corrections): 0.96 eV per atom. Its relative energy among the computed polymorphs is 0.211 eV/atom. The calculation puts the raw total energy at -4.349 eV/atom. The space group is I4mm (107). Its crystal system is tetragonal. Its volume is 18.310 A^3/atom.

a = 6.7895 Å, b = 6.7895 Å, c = 6.7895 Å
α = 155.22°, β = 155.22°, γ = 35.33°
Last column: nearest neighbours and their distance in Å.
Element x y z (fractional)
1 Os 0.6784 0.6784 0.0000  4 Cl 2.56, 4 Ag 2.86
2 Ag 0.0253 0.0253 0.0000  4 Os 2.86, 4 Ag 2.91
3 Cl 0.2963 0.2963 0.0000  4 Os 2.56

---

No. 2
First-principles (GGA-PBE) data for Ag3OsCl8 after structural relaxation, as listed in Alexandria.

Output
As for the formation energy (no corrections): -0.42 eV per atom. The calculation puts the raw total energy at -3.303 eV/atom. The space group is C222 (21). Its crystal system is orthorhombic. Its volume is 27.318 A^3/atom.

a = 6.7147 Å, b = 6.7147 Å, c = 8.0454 Å
α = 90.00°, β = 90.00°, γ = 115.35°
Last column: nearest neighbours and their distance in Å.
Element x y z (fractional)
1 Ag 0.0000 0.5000 0.2326  6 Cl 2.62-2.85
2 Ag 0.5000 0.5000 0.0000  2 Cl 2.47
3 Ag 0.5000 0.0000 0.7674  6 Cl 2.62-2.85
4 Os 0.5000 0.5000 0.5000  6 Cl 2.33-2.34
5 Cl 0.7064 0.2936 0.5000  1 Os 2.34
6 Cl 0.7174 0.2826 0.0000  3 Ag 2.47-2.62
7 Cl 0.7257 0.7348 0.7040  1 Os 2.33
8 Cl 0.7348 0.7257 0.2960  1 Os 2.33
9 Cl 0.2652 0.2743 0.2960  1 Os 2.33
10 Cl 0.2743 0.2652 0.7040  1 Os 2.33
11 Cl 0.2826 0.7174 0.0000  3 Ag 2.47-2.62
12 Cl 0.2936 0.7064 0.5000  1 Os 2.34